[1]
The following is a PBE-GGA calculation of Th2Si3Pt after structural relaxation, from Alexandria.

The structure in extended XYZ format:
```
6
Lattice="-2.105 2.110 7.072 2.105 -2.110 7.072 2.105 2.110 -7.072" Properties=species:S:1:pos:R:3 pbc="T T T"
Th 0.000 0.000 0.000
Th 0.000 2.110 3.632
Si 2.105 0.000 4.748
Si 0.000 0.000 5.900
Si 0.000 0.000 8.272
Pt 2.105 0.000 2.362
```

Properties
E_form (uncorrected) = -574 kJ/mol of formula units
Total magnetic moment = 0.000 μB/atom
Energy = -43.10 eV for the cell shown

[2]
The following is a PBE-GGA calculation of AgBi3Pb12 after structural relaxation, from Alexandria.

The structure in extended XYZ format:
```
16
Lattice="3.500 0.000 0.000 0.000 6.090 0.000 -0.001 0.000 23.227" Properties=species:S:1:pos:R:3 pbc="T T T"
Ag 0.000 0.000 0.000
Bi -0.001 0.000 11.614
Bi 0.006 0.000 17.683
Bi 3.493 0.000 5.545
Pb 0.001 3.045 2.898
Pb 0.000 3.045 8.725
Pb 3.498 3.045 14.502
Pb 3.498 3.045 20.330
Pb 1.748 0.000 8.551
Pb 1.745 3.045 17.409
Pb 1.749 0.000 2.497
Pb 1.750 0.000 20.730
Pb 1.750 3.045 0.000
Pb 1.749 3.045 11.614
Pb 1.751 0.000 14.677
Pb 1.753 3.045 5.818
```

Properties
Total magnetic moment = 0.000 μB/atom
Energy = -58.21 eV for the cell shown
ΔE_f = 0.049 eV/atom

[3]
The following is a PBE-GGA calculation of La4TlCdAg2 after structural relaxation, from Alexandria.

The structure in extended XYZ format:
```
8
Lattice="2.753 1.590 9.031 -2.753 1.590 9.031 0.000 -3.179 9.031" Properties=species:S:1:pos:R:3 pbc="T T T"
La 0.000 0.000 3.368
La 0.000 0.000 10.150
La 0.000 0.000 16.942
La 0.000 0.000 23.724
Tl 0.000 0.000 13.546
Cd 0.000 0.000 0.000
Ag 0.000 0.000 6.837
Ag 0.000 0.000 20.255
```

Properties
Total magnetic moment = 0.117 μB/atom
Energy = -31.16 eV for the cell shown
ΔE_f = -0.308 eV/atom

[4]
The following is a PBE-GGA calculation of CdSi3Ni after structural relaxation, from Alexandria.

The structure in extended XYZ format:
```
5
Lattice="4.503 0.000 0.000 0.000 4.503 0.000 0.000 0.000 4.503" Properties=species:S:1:pos:R:3 pbc="T T T"
Cd 0.000 0.000 0.000
Si 0.000 2.251 2.251
Si 2.251 0.000 2.251
Si 2.251 2.251 0.000
Ni 2.251 2.251 2.251
```

Properties
Energy above the lowest structure with this stoichiometry = 0.000 eV per formula unit
E_form (uncorrected) = 197 kJ/mol of formula units
Total magnetic moment = 0.000 μB/atom
Energy = -20.92 eV for the cell shown

[5]
The following is a PBE-GGA calculation of Pr8Y5Ho after structural relaxation, from Alexandria.

The structure in extended XYZ format:
```
14
Lattice="-4.907 4.907 5.179 4.907 -4.907 5.179 4.907 4.907 -5.179" Properties=species:S:1:pos:R:3 pbc="T T T"
Pr 4.252 1.668 -0.965
Pr 1.768 -0.903 2.613
Pr 3.139 5.810 -2.565
Pr 3.239 -0.655 6.144
Pr 4.004 3.139 2.565
Pr 1.668 5.562 0.965
Pr 0.655 3.239 4.214
Pr 0.903 1.768 7.744
Y 7.829 1.068 -0.778
Y 1.068 1.985 0.778
Y 0.000 0.000 5.179
Y -2.922 3.839 4.401
Y 3.839 2.922 5.956
Ho 4.907 0.000 2.589
```

Properties
Total magnetic moment = 0.000 μB/atom
Energy = -71.57 eV for the cell shown
ΔE_f = 0.255 eV/atom

[6]
The following is a PBE-GGA calculation of NdErTh2 after structural relaxation, from Alexandria.

The structure in extended XYZ format:
```
8
Lattice="5.048 0.000 0.000 0.000 5.082 0.000 -0.018 0.000 10.171" Properties=species:S:1:pos:R:3 pbc="T T T"
Nd -0.003 1.270 3.746
Nd 5.033 3.811 6.426
Er 2.510 1.270 6.425
Er 2.520 3.811 3.747
Th 5.030 1.270 8.929
Th 0.000 3.811 1.243
Th 2.521 1.270 1.220
Th 2.509 3.811 8.951
```

Properties
Energy above the lowest structure with this stoichiometry = 0.000 eV per formula unit
Total magnetic moment = 0.000 μB/atom
Energy = -48.10 eV for the cell shown
ΔE_f = 0.030 eV/atom

[7]
The following is a PBE-GGA calculation of PmGaNiSn after structural relaxation, from Alexandria.

The structure in extended XYZ format:
```
4
Lattice="0.000 3.441 3.441 3.441 0.000 3.441 3.441 3.441 0.000" Properties=species:S:1:pos:R:3 pbc="T T T"
Pm 0.000 0.000 0.000
Ga 1.721 1.721 1.721
Ni 5.162 5.162 5.162
Sn 3.441 3.441 3.441
```

Properties
Total magnetic moment = 0.000 μB/atom
Energy = -18.96 eV for the cell shown
ΔE_f = -0.349 eV/atom

[8]
The following is a PBE-GGA calculation of Ba4Hg3 after structural relaxation, from Alexandria.

The structure in extended XYZ format:
```
7
Lattice="2.973 1.717 9.701 -2.973 1.717 9.701 0.000 -3.433 9.701" Properties=species:S:1:pos:R:3 pbc="T T T"
Ba 0.000 0.000 3.586
Ba 0.000 0.000 10.864
Ba 0.000 0.000 18.240
Ba 0.000 0.000 25.517
Hg 0.000 0.000 0.000
Hg 0.000 0.000 7.226
Hg 0.000 0.000 21.877
```

Properties
Total magnetic moment = 0.000 μB/atom
Energy = -11.58 eV for the cell shown
ΔE_f = -0.426 eV/atom

[9]
The following is a PBE-GGA calculation of TbMg2Au2 after structural relaxation, from Alexandria.

The structure in extended XYZ format:
```
10
Lattice="4.833 0.000 0.000 0.000 4.765 0.000 -1.198 0.000 10.024" Properties=species:S:1:pos:R:3 pbc="T T T"
Tb 0.647 1.191 3.152
Tb 2.988 3.574 6.873
Mg 0.121 1.191 9.838
Mg 0.549 1.191 6.648
Mg 3.086 3.574 3.376
Mg 3.514 3.574 0.186
Au 0.576 3.574 5.132
Au 1.072 3.574 1.450
Au 2.563 1.191 8.575
Au 3.060 1.191 4.892
```

Properties
Energy above the lowest structure with this stoichiometry = 0.196 eV per formula unit
Total magnetic moment = 0.000 μB/atom
Energy = -34.59 eV for the cell shown
ΔE_f = -0.584 eV/atom

[10]
The following is a PBE-GGA calculation of CuSiPtRh after structural relaxation, from Alexandria.

The structure in extended XYZ format:
```
4
Lattice="0.000 2.990 2.990 2.990 0.000 2.990 2.990 2.990 0.000" Properties=species:S:1:pos:R:3 pbc="T T T"
Cu 0.000 0.000 0.000
Si 2.990 2.990 2.990
Pt 4.484 4.484 4.484
Rh 1.495 1.495 1.495
```

Properties
E_form (uncorrected) = -172 kJ/mol of formula units
Total magnetic moment = 0.000 μB/atom
Energy = -24.70 eV for the cell shown

[11]
The following is a PBE-GGA calculation of AcNdZn after structural relaxation, from Alexandria.

The structure in extended XYZ format:
```
3
Lattice="0.000 3.726 3.726 3.726 0.000 3.726 3.726 3.726 0.000" Properties=species:S:1:pos:R:3 pbc="T T T"
Ac 0.000 0.000 0.000
Nd 3.726 3.726 3.726
Zn 1.863 1.863 1.863
```

Properties
Energy above the lowest structure with this stoichiometry = 0.629 eV per formula unit
Total magnetic moment = 0.000 μB/atom
Energy = -10.02 eV for the cell shown
ΔE_f = 0.044 eV/atom

[12]
The following is a PBE-GGA calculation of ZnPtRh2 after structural relaxation, from Alexandria.

The structure in extended XYZ format:
```
4
Lattice="4.533 -1.376 0.000 4.533 1.376 0.000 -0.878 0.000 4.630" Properties=species:S:1:pos:R:3 pbc="T T T"
Zn 0.000 0.000 0.000
Pt 4.094 0.000 2.315
Rh 1.636 0.000 3.474
Rh 6.552 0.000 1.156
```

Properties
Total magnetic moment = 0.000 μB/atom
Energy = -22.87 eV for the cell shown
ΔE_f = -0.213 eV/atom

[13]
The following is a PBE-GGA calculation of Bi2Pd5Au after structural relaxation, from Alexandria.

The structure in extended XYZ format:
```
32
Lattice="14.430 0.000 0.000 0.000 4.564 0.000 0.000 0.000 9.545" Properties=species:S:1:pos:R:3 pbc="T T T"
Bi 1.525 1.141 0.017
Bi 1.527 1.141 6.058
Bi 5.688 3.423 1.285
Bi 5.690 3.423 4.790
Bi 8.740 1.141 4.755
Bi 8.742 1.141 8.260
Bi 12.903 3.423 3.487
Bi 12.905 3.423 9.528
Pd 0.844 3.423 7.678
Pd 0.889 3.423 1.672
Pd 3.215 3.423 9.342
Pd 3.286 3.423 6.238
Pd 3.374 3.423 3.014
Pd 3.841 1.141 7.786
Pd 3.929 1.141 1.466
Pd 4.000 1.141 4.570
Pd 6.326 1.141 6.444
Pd 6.371 1.141 2.905
Pd 8.059 3.423 6.640
Pd 8.104 3.423 3.101
Pd 10.430 3.423 4.975
Pd 10.502 3.423 8.079
Pd 10.589 3.423 1.759
Pd 11.056 1.141 6.531
Pd 11.144 1.141 3.307
Pd 11.215 1.141 0.203
Pd 13.541 1.141 7.873
Pd 13.587 1.141 1.867
Au 1.607 1.141 3.200
Au 5.608 3.423 7.972
Au 8.822 1.141 1.573
Au 12.823 3.423 6.345
```

Properties
Total magnetic moment = 0.000 μB/atom
Energy = -153.23 eV for the cell shown
ΔE_f = -0.163 eV/atom

[14]
The following is a PBE-GGA calculation of Bi2PtRh after structural relaxation, from Alexandria.

The structure in extended XYZ format:
```
4
Lattice="1.769 1.021 9.115 -1.769 1.021 9.115 0.000 -2.042 9.115" Properties=species:S:1:pos:R:3 pbc="T T T"
Bi 0.000 0.000 2.614
Bi 0.000 0.000 24.730
Pt 0.000 0.000 13.672
Rh 0.000 0.000 0.000
```

Properties
Total magnetic moment = 0.085 μB/atom
Energy = -19.77 eV for the cell shown
ΔE_f = 0.345 eV/atom

[15]
The following is a PBE-GGA calculation of Er6SnTe5 after structural relaxation, from Alexandria.

The structure in extended XYZ format:
```
12
Lattice="3.754 -6.489 0.000 3.754 6.489 0.000 -2.487 0.000 7.101" Properties=species:S:1:pos:R:3 pbc="T T T"
Er -0.032 2.105 5.268
Er 1.166 0.000 1.801
Er -0.032 -2.105 5.268
Er 5.053 2.105 1.833
Er 3.854 0.000 5.300
Er 5.053 -2.105 1.833
Sn -1.243 0.000 3.551
Te 3.754 4.270 0.000
Te 2.510 2.143 3.551
Te 3.754 0.000 0.000
Te 2.510 -2.143 3.551
Te 3.754 -4.270 0.000
```

Properties
E_form (uncorrected) = -1360 kJ/mol of formula units
Total magnetic moment = 0.000 μB/atom
Energy = -61.18 eV for the cell shown

[16]
The following is a PBE-GGA calculation of Pa2InO after structural relaxation, from Alexandria.

The structure in extended XYZ format:
```
4
Lattice="1.627 0.939 8.824 -1.627 0.939 8.824 0.000 -1.879 8.824" Properties=species:S:1:pos:R:3 pbc="T T T"
Pa 0.000 0.000 6.035
Pa 0.000 0.000 20.437
In 0.000 0.000 0.000
O 0.000 0.000 13.236
```

Properties
Energy above the lowest structure with this stoichiometry = 0.000 eV per formula unit
E_form (uncorrected) = -459 kJ/mol of formula units
Total magnetic moment = 0.000 μB/atom
Energy = -31.44 eV for the cell shown

[17]
The following is a PBE-GGA calculation of KRbCrSe3 after structural relaxation, from Alexandria.

The structure in extended XYZ format:
```
12
Lattice="4.028 -7.610 0.000 4.028 7.610 0.000 0.000 0.000 6.899" Properties=species:S:1:pos:R:3 pbc="T T T"
K 4.028 6.272 5.175
K 4.028 -6.272 1.725
Rb 4.028 2.958 1.725
Rb 4.028 -2.958 5.175
Cr 4.028 0.786 5.175
Cr 4.028 -0.786 1.725
Se 4.028 3.101 5.175
Se 2.441 0.000 0.000
Se 2.441 0.000 3.450
Se 5.615 0.000 0.000
Se 5.615 0.000 3.450
Se 4.028 -3.101 1.725
```

Properties
E_form (uncorrected) = -460 kJ/mol of formula units
Total magnetic moment = 0.333 μB/atom
Energy = -53.82 eV for the cell shown

[18]
The following is a PBE-GGA calculation of Tb2Pr7Er3 after structural relaxation, from Alexandria.

The structure in extended XYZ format:
```
12
Lattice="6.514 0.000 0.000 0.000 3.581 0.000 -1.771 0.000 17.573" Properties=species:S:1:pos:R:3 pbc="T T T"
Tb 0.087 0.000 2.987
Tb 4.657 0.000 14.586
Pr -0.886 1.790 8.787
Pr 0.282 0.000 11.826
Pr -0.080 0.000 17.455
Pr 1.220 1.790 5.858
Pr 3.524 1.790 11.715
Pr 4.823 0.000 0.118
Pr 4.461 0.000 5.747
Er 1.492 1.790 14.775
Er 2.372 0.000 8.787
Er 3.252 1.790 2.798
```

Properties
Energy above the lowest structure with this stoichiometry = 0.000 eV per formula unit
Total magnetic moment = 0.000 μB/atom
Energy = -55.58 eV for the cell shown
ΔE_f = 0.069 eV/atom

[19]
The following is a PBE-GGA calculation of MgIn3Hg after structural relaxation, from Alexandria.

The structure in extended XYZ format:
```
10
Lattice="3.287 0.000 0.000 1.594 7.012 0.000 0.112 1.366 10.876" Properties=species:S:1:pos:R:3 pbc="T T T"
Mg 0.000 0.000 0.000
Mg 1.611 6.119 3.397
In 1.672 5.211 6.772
In 1.759 3.973 9.877
In 1.658 1.633 2.166
In 3.259 4.481 1.242
In 3.272 3.512 4.412
In 3.375 2.275 7.513
Hg 1.669 0.668 5.287
Hg 3.356 6.810 8.997
```

Properties
Energy above the lowest structure with this stoichiometry = 0.000 eV per formula unit
Total magnetic moment = 0.000 μB/atom
Energy = -20.58 eV for the cell shown
ΔE_f = -0.036 eV/atom

[20]
The following is a PBE-GGA calculation of KCu2P after structural relaxation, from Alexandria.

The structure in extended XYZ format:
```
4
Lattice="-2.389 2.389 3.131 2.389 -2.389 3.131 2.389 2.389 -3.131" Properties=species:S:1:pos:R:3 pbc="T T T"
K 0.000 0.000 0.000
Cu 2.389 0.000 1.565
Cu 0.000 0.000 3.131
P 0.000 2.389 1.565
```

Properties
Total magnetic moment = 0.000 μB/atom
Energy = -12.33 eV for the cell shown
ΔE_f = 0.593 eV/atom